This record from Alexandria describes a relaxed structure of Zn2GaH2. The functional is PBE-GGA.

Computed properties:
Density (g/cm³): 5.75
Energy relative to the lowest polymorph listed for this composition (eV/f.u.): 0.87

Lattice parameters (Å, degrees): 6.7508 6.7508 2.5651 90.00 90.00 90.00
Last column: nearest neighbours and their distance in Å.
Positions (direct):
Ga  0.5000  0.5000  0.0000  2 Ga 2.57, 4 H 2.70
Ga  0.0000  0.0000  0.0000  2 Ga 2.57, 4 H 2.70
Zn  0.3620  0.1380  0.5000  4 H 2.16
Zn  0.1380  0.6380  0.5000  4 H 2.16
Zn  0.8620  0.3620  0.5000  4 H 2.16
Zn  0.6380  0.8620  0.5000  4 H 2.16
H  0.1187  0.3813  0.0000  4 Zn 2.16, 1 H 2.27
H  0.8813  0.6187  0.0000  4 Zn 2.16, 1 H 2.27
H  0.6187  0.1187  0.0000  4 Zn 2.16, 1 H 2.27
H  0.3813  0.8813  0.0000  4 Zn 2.16, 1 H 2.27